# 1
Sr2DyErS4: relaxed, PBE-GGA.

Unit cell a=6.9613 b=4.0255 c=7.1491 alpha=90.00 beta=108.99 gamma=90.00
Element x y z (fractional)
Sr: 0.0000 0.0000 0.0000
Sr: 0.5000 0.5000 0.0000
Dy: 0.0000 0.5000 0.5000
Er: 0.5000 0.0000 0.5000
S: 0.2447 0.0000 0.7277
S: 0.2595 0.5000 0.2735
S: 0.7405 0.5000 0.7265
S: 0.7553 0.0000 0.2723

# 2
Ca2YHg: relaxed, PBE-GGA.

Properties
For the formation energy, the calculation gives -0.07 eV/atom.

Unit cell a=6.0538 b=6.0538 c=3.6942 alpha=90.00 beta=90.00 gamma=109.79
Element x y z (fractional)
Ca: 0.0000 0.5000 0.0000
Ca: 0.5000 0.0000 0.0000
Y: 0.0000 0.0000 0.5000
Hg: 0.5000 0.5000 0.5000

# 3
SrEr2Ru: relaxed, PBE-GGA.

Properties
For the formation energy, the calculation gives -0.20 eV/atom.

Unit cell a=3.4479 b=3.4479 c=9.8315 alpha=90.00 beta=90.00 gamma=90.00
Element x y z (fractional)
Sr: 0.0000 0.0000 0.0000
Er: 0.5000 0.5000 0.3366
Er: 0.5000 0.5000 0.6634
Ru: 0.0000 0.0000 0.5000

# 4
AcLa2YSe4: relaxed, PBE-GGA.

Unit cell a=7.4429 b=4.2645 c=7.5061 alpha=90.00 beta=109.04 gamma=90.00
Element x y z (fractional)
Ac: 0.0000 0.0000 0.0000
La: 0.5000 0.0000 0.5000
La: 0.5000 0.5000 0.0000
Y: 0.0000 0.5000 0.5000
Se: 0.2401 0.0000 0.7337
Se: 0.2498 0.5000 0.2638
Se: 0.7502 0.5000 0.7362
Se: 0.7599 0.0000 0.2663

# 5
La2Cu: relaxed, PBE-GGA.

Properties
For the formation energy, the calculation gives -0.07 eV/atom.

Unit cell a=6.8165 b=6.8165 c=6.8165 alpha=148.40 beta=148.40 gamma=45.30
Element x y z (fractional)
La: 0.1366 0.1366 0.0000
La: 0.8634 0.8634 0.0000
Cu: 0.5000 0.5000 0.0000

# 6
CaEuYSc: relaxed, PBE-GGA.

Properties
For the formation energy, the calculation gives 0.19 eV/atom.

Unit cell a=5.7354 b=5.7354 c=5.7354 alpha=60.00 beta=60.00 gamma=60.00
Element x y z (fractional)
Ca: 0.0000 0.0000 0.0000
Eu: 0.7500 0.7500 0.7500
Y: 0.2500 0.2500 0.2500
Sc: 0.5000 0.5000 0.5000

| no. | VASP energy (eV per atom) |
| --- | --- |
| 1 | -5.658 |
| 2 | -2.767 |
| 3 | -5.220 |
| 4 | -6.184 |
| 5 | -4.722 |
| 6 | -6.077 |